A plane-wave DFT calculation with PBE was carried out for an optimized crystal structure of Ba2TiCu2S6.

Geometry as extended XYZ:
```
11
Lattice="3.470 2.004 6.257 -3.470 2.004 6.257 0.000 -4.007 6.257" Properties=species:S:1:pos:R:3 pbc="T T T"
Ba 0.000 0.000 4.322
Ba 0.000 0.000 14.448
Ti 0.000 0.000 0.000
Cu 0.000 0.000 7.787
Cu 0.000 0.000 10.982
S -1.873 -1.082 10.942
S 0.000 -2.163 7.828
S -1.873 1.082 7.828
S 1.873 -1.082 10.942
S 0.000 2.163 10.942
S 1.873 1.082 7.828
```

Values from the calculation:
As for the formation energy from raw total energies: -1.0822 eV per atom. The value obtained for the theoretical density is 4.1 g cm⁻³. The magnetic moment is 0.00 μB per formula unit. The calculation puts the volume at 261 Å³/cell. The calculation puts the final energy at -56.6 eV/cell.